A plane-wave DFT calculation with meta-GGA SCAN was carried out for TePbO2 at its PBEsol-relaxed geometry.

```
data_TePbO2
_chemical_formula_sum 'Te2 Pb2 O4'
_symmetry_space_group_name_H-M 'P 1'
_symmetry_Int_Tables_number 1
_cell_length_a 7.613
_cell_length_b 7.613
_cell_length_c 7.613
_cell_angle_alpha 144.16
_cell_angle_beta 144.16
_cell_angle_gamma 51.58
loop_
_symmetry_equiv_pos_as_xyz
'x,y,z'
loop_
_atom_site_label
_atom_site_fract_x
_atom_site_fract_y
_atom_site_fract_z
Te1 0.000 0.000 0.000
Te2 0.750 0.250 0.500
Pb1 0.250 0.750 0.500
Pb2 0.500 0.500 0.000
O1 0.072 0.625 0.947
O2 0.375 0.322 0.447
O3 0.678 0.125 0.053
O4 0.875 0.928 0.553
```

Values from the calculation:
The total moment is 0.0 μB/cell. The formation energy (no corrections) comes out at -0.403 eV per atom. The calculation puts the raw total energy at -31.7764 eV per atom.

---

A plane-wave DFT calculation with meta-GGA SCAN was carried out for Te2PbO at its PBEsol-relaxed geometry.

```
data_Te2PbO
_chemical_formula_sum 'Te4 Pb2 O2'
_symmetry_space_group_name_H-M 'P 1'
_symmetry_Int_Tables_number 1
_cell_length_a 7.677
_cell_length_b 7.677
_cell_length_c 7.677
_cell_angle_alpha 134.06
_cell_angle_beta 134.06
_cell_angle_gamma 66.99
loop_
_symmetry_equiv_pos_as_xyz
'x,y,z'
loop_
_atom_site_label
_atom_site_fract_x
_atom_site_fract_y
_atom_site_fract_z
Te1 0.375 0.219 0.344
Te2 0.781 0.125 0.156
Te3 0.875 0.031 0.656
Te4 0.969 0.625 0.844
Pb1 0.250 0.750 0.500
Pb2 0.500 0.500 0.000
O1 0.000 0.000 0.000
O2 0.750 0.250 0.500
```

Values from the calculation:
The total moment is 0.0 μB/cell. The formation energy (no corrections) comes out at -0.055 eV per atom. The calculation puts the raw total energy at -39.1833 eV per atom.

---

A plane-wave DFT calculation with meta-GGA SCAN was carried out for TePbO2 at its PBEsol-relaxed geometry.

```
data_TePbO2
_chemical_formula_sum 'Te1 Pb1 O2'
_symmetry_space_group_name_H-M 'P 1'
_symmetry_Int_Tables_number 1
_cell_length_a 7.292
_cell_length_b 7.292
_cell_length_c 7.292
_cell_angle_alpha 28.13
_cell_angle_beta 28.13
_cell_angle_gamma 28.13
loop_
_symmetry_equiv_pos_as_xyz
'x,y,z'
loop_
_atom_site_label
_atom_site_fract_x
_atom_site_fract_y
_atom_site_fract_z
Te1 0.000 0.000 0.000
Pb1 0.500 0.500 0.500
O1 0.380 0.380 0.380
O2 0.620 0.620 0.620
```

Values from the calculation:
The total moment is 0.0 μB/cell. The formation energy (no corrections) comes out at -0.514 eV per atom. The calculation puts the raw total energy at -31.8880 eV per atom.

---

A plane-wave DFT calculation with meta-GGA SCAN was carried out for UTe2PbO8 at its PBEsol-relaxed geometry.

```
data_UTe2PbO8
_chemical_formula_sum 'U4 Te8 Pb4 O32'
_symmetry_space_group_name_H-M 'P 1'
_symmetry_Int_Tables_number 1
_cell_length_a 7.681
_cell_length_b 6.907
_cell_length_c 13.834
_cell_angle_alpha 90.00
_cell_angle_beta 94.84
_cell_angle_gamma 90.00
loop_
_symmetry_equiv_pos_as_xyz
'x,y,z'
loop_
_atom_site_label
_atom_site_fract_x
_atom_site_fract_y
_atom_site_fract_z
U1 0.052 0.152 0.307
U2 0.052 0.348 0.807
U3 0.948 0.652 0.193
U4 0.948 0.848 0.693
Te1 0.194 0.665 0.428
Te2 0.194 0.835 0.928
Te3 0.357 0.176 0.547
Te4 0.357 0.324 0.047
Te5 0.643 0.676 0.953
Te6 0.643 0.824 0.453
Te7 0.806 0.165 0.072
Te8 0.806 0.335 0.572
Pb1 0.433 0.638 0.679
Pb2 0.433 0.862 0.179
Pb3 0.567 0.138 0.821
Pb4 0.567 0.362 0.321
O1 0.063 0.670 0.819
O2 0.063 0.830 0.319
O3 0.080 0.034 0.847
O4 0.080 0.466 0.347
O5 0.172 0.653 0.148
O6 0.172 0.847 0.648
O7 0.175 0.101 0.451
O8 0.175 0.399 0.951
O9 0.275 0.157 0.257
O10 0.275 0.343 0.757
O11 0.293 0.050 0.030
O12 0.293 0.450 0.530
O13 0.397 0.668 0.359
O14 0.397 0.832 0.859
O15 0.464 0.668 0.041
O16 0.464 0.832 0.541
O17 0.536 0.168 0.459
O18 0.536 0.332 0.959
O19 0.603 0.168 0.141
O20 0.603 0.332 0.641
O21 0.707 0.550 0.470
O22 0.707 0.950 0.970
O23 0.725 0.657 0.243
O24 0.725 0.843 0.743
O25 0.825 0.601 0.049
O26 0.825 0.899 0.549
O27 0.828 0.153 0.352
O28 0.828 0.347 0.852
O29 0.920 0.534 0.653
O30 0.920 0.966 0.153
O31 0.937 0.170 0.681
O32 0.937 0.330 0.181
```

Values from the calculation:
The total moment is 0.0 μB/cell. The formation energy (no corrections) comes out at -1.892 eV per atom. The calculation puts the raw total energy at -27.1966 eV per atom.

---

A plane-wave DFT calculation with meta-GGA SCAN was carried out for ThV2PbO8 at its PBEsol-relaxed geometry.

```
data_ThV2PbO8
_chemical_formula_sum 'Th1 V2 Pb1 O8'
_symmetry_space_group_name_H-M 'P 1'
_symmetry_Int_Tables_number 1
_cell_length_a 6.165
_cell_length_b 6.165
_cell_length_c 6.165
_cell_angle_alpha 106.04
_cell_angle_beta 106.04
_cell_angle_gamma 116.58
loop_
_symmetry_equiv_pos_as_xyz
'x,y,z'
loop_
_atom_site_label
_atom_site_fract_x
_atom_site_fract_y
_atom_site_fract_z
Th1 0.000 0.000 0.000
V1 0.500 0.500 0.000
V2 0.750 0.250 0.500
Pb1 0.250 0.750 0.500
O1 0.322 0.151 0.829
O2 0.322 0.494 0.171
O3 0.405 0.091 0.314
O4 0.506 0.678 0.829
O5 0.777 0.091 0.686
O6 0.849 0.678 0.171
O7 0.909 0.223 0.314
O8 0.909 0.595 0.686
```

Values from the calculation:
The total moment is 0.0 μB/cell. The formation energy (no corrections) comes out at -2.802 eV per atom. The calculation puts the raw total energy at -24.1792 eV per atom.

---

A plane-wave DFT calculation with meta-GGA SCAN was carried out for TiPb3O at its PBEsol-relaxed geometry.

```
data_TiPb3O
_chemical_formula_sum 'Ti1 Pb3 O1'
_symmetry_space_group_name_H-M 'P 1'
_symmetry_Int_Tables_number 1
_cell_length_a 4.814
_cell_length_b 4.814
_cell_length_c 4.814
_cell_angle_alpha 90.00
_cell_angle_beta 90.00
_cell_angle_gamma 90.00
loop_
_symmetry_equiv_pos_as_xyz
'x,y,z'
loop_
_atom_site_label
_atom_site_fract_x
_atom_site_fract_y
_atom_site_fract_z
Ti1 0.000 0.000 0.000
Pb1 0.000 0.500 0.500
Pb2 0.500 0.000 0.500
Pb3 0.500 0.500 0.000
O1 0.500 0.500 0.500
```

Values from the calculation:
The total moment is 1.5 μB/cell. The formation energy (no corrections) comes out at -0.026 eV per atom. The calculation puts the raw total energy at -49.9466 eV per atom.